Material: Tb6PrTe8
Method: DFT, PBE-GGA
State: relaxed

Output
D(E_F)	6.70	states/eV/f.u.
raw formation energy	-32.1	kcal/mol of atoms
offset from the most stable computed form	0.0	kJ/mol of atoms
magnetization	0.00	μB/f.u.
total energy	-0.19254	Ha/atom

The structure in CIF format:
```
data_Tb6PrTe8
_chemical_formula_sum 'Tb24 Pr4 Te32'
_space_group_name_H-M_alt 'F m -3 m'
_space_group_IT_number 225
_space_group_name_Hall '-F 4 2 3'
_cell_length_a 12.340
_cell_length_b 12.340
_cell_length_c 12.340
_cell_angle_alpha 90.00
_cell_angle_beta 90.00
_cell_angle_gamma 90.00
loop_
_atom_site_label
_atom_site_type_symbol
_atom_site_fract_x
_atom_site_fract_y
_atom_site_fract_z
_atom_site_occupancy
Tb1 Tb 0.000 0.250 0.250 1
Pr1 Pr 0.000 0.000 0.000 1
Te1 Te 0.000 0.000 0.262 1
Te2 Te 0.250 0.250 0.250 1
```